Below is crystalline Ga3AsP at its relaxed geometry, with properties calculated at the PBE-GGA level.

Cell and atoms, written as POSCAR:
```
Ga3AsP
1.0
4.935 0.000 0.000
0.000 4.935 0.000
0.000 0.000 4.935
Ga As P
3 1 1
Cartesian
0.000 0.000 2.467
0.000 2.467 0.000
2.467 0.000 0.000
0.000 0.000 0.000
2.467 2.467 2.467
```

Summary:
Space-group type   Pm-3m (221)
Total magnetic moment   0.0 μB per formula unit
Energy relative to the lowest polymorph listed for this composition   273 meV per atom



Below is crystalline GaAs2P at its relaxed geometry, with properties calculated at the PBE-GGA level.

Cell and atoms, written as POSCAR:
```
GaAs2P
1.0
0.000 3.286 3.286
3.286 0.000 3.286
3.286 3.286 0.000
Ga As P
1 2 1
Cartesian
0.000 0.000 0.000
1.643 1.643 1.643
4.929 4.929 4.929
3.286 3.286 3.286
```

Summary:
Space-group type   Fm-3m (225)
Total magnetic moment   0.0 μB per formula unit
Energy relative to the lowest polymorph listed for this composition   266 meV per atom



Below is crystalline Ga3AsP at its relaxed geometry, with properties calculated at the PBE-GGA level.

Cell and atoms, written as POSCAR:
```
Ga3AsP
1.0
4.769 0.000 0.000
0.000 4.769 0.000
0.000 0.000 4.769
Ga As P
3 1 1
Cartesian
0.000 0.000 2.384
0.000 2.384 0.000
2.384 0.000 0.000
2.384 2.384 2.384
0.000 0.000 0.000
```

Summary:
Space-group type   Pm-3m (221)
Total magnetic moment   0.0 μB per formula unit
Energy relative to the lowest polymorph listed for this composition   0 meV per atom



Below is crystalline GaAsP2 at its relaxed geometry, with properties calculated at the PBE-GGA level.

Cell and atoms, written as POSCAR:
```
GaAsP2
1.0
-2.774 2.774 5.957
2.774 -2.774 5.957
2.774 2.774 -5.957
Ga As P
2 2 4
Cartesian
0.000 0.000 0.000
0.000 2.774 2.979
2.774 0.000 2.979
0.000 0.000 5.957
4.161 1.278 -1.489
1.278 1.387 1.489
-1.387 1.496 4.468
1.496 1.387 7.447
```

Summary:
Space-group type   I-42d (122)
Total magnetic moment   0.0 μB per formula unit
Energy relative to the lowest polymorph listed for this composition   0 meV per atom



Below is crystalline GaAsP2 at its relaxed geometry, with properties calculated at the PBE-GGA level.

Cell and atoms, written as POSCAR:
```
GaAsP2
1.0
0.000 3.212 3.212
3.212 0.000 3.212
3.212 3.212 0.000
Ga As P
1 1 2
Cartesian
0.000 0.000 0.000
3.212 3.212 3.212
1.606 1.606 1.606
4.818 4.818 4.818
```

Summary:
Space-group type   Fm-3m (225)
Total magnetic moment   0.0 μB per formula unit
Energy relative to the lowest polymorph listed for this composition   350 meV per atom



Below is crystalline GaAs2P at its relaxed geometry, with properties calculated at the PBE-GGA level.

Cell and atoms, written as POSCAR:
```
GaAs2P
1.0
-2.729 2.729 6.411
2.729 -2.729 6.411
2.729 2.729 -6.411
Ga As P
2 4 2
Cartesian
0.000 0.000 0.000
0.000 2.729 3.205
1.365 -1.295 4.808
1.434 1.365 1.603
1.365 4.025 -1.603
1.295 1.365 8.014
2.729 0.000 3.205
0.000 0.000 6.411
```

Summary:
Space-group type   I-42d (122)
Total magnetic moment   0.0 μB per formula unit
Energy relative to the lowest polymorph listed for this composition   0 meV per atom



Below is crystalline Rb2Ga2As2P at its relaxed geometry, with properties calculated at the PBE-GGA level.

Cell and atoms, written as POSCAR:
```
Rb2Ga2As2P
1.0
7.086 -1.952 0.000
7.086 1.952 0.000
-4.804 0.000 7.467
Rb Ga As P
2 2 2 1
Cartesian
-0.711 0.000 2.645
10.079 0.000 4.822
-0.047 0.000 7.085
9.415 0.000 0.382
3.234 0.000 1.706
6.134 0.000 5.762
7.086 0.000 0.000
```

Summary:
Space-group type   C2/m (12)
Total magnetic moment   0.0 μB per formula unit



Below is crystalline Ga2AsPRu at its relaxed geometry, with properties calculated at the PBE-GGA level.

Cell and atoms, written as POSCAR:
```
Ga2AsPRu
1.0
4.795 0.000 0.000
0.000 4.795 0.000
0.000 0.000 4.715
Ga As P Ru
2 1 1 1
Cartesian
0.000 2.398 0.000
2.398 0.000 0.000
0.000 0.000 0.000
0.000 0.000 2.357
2.398 2.398 2.357
```

Summary:
Space-group type   P4/mmm (123)
Total magnetic moment   1.9 μB per formula unit



Below is crystalline GaAsPS2 at its relaxed geometry, with properties calculated at the PBE-GGA level.

Cell and atoms, written as POSCAR:
```
GaAsPS2
1.0
4.826 0.000 0.000
0.000 4.826 0.000
0.000 0.000 4.751
Ga As P S
1 1 1 2
Cartesian
0.000 0.000 0.000
2.413 2.413 2.376
2.413 2.413 0.000
0.000 2.413 2.376
2.413 0.000 2.376
```

Summary:
Formation energy (no corrections)   576 meV per atom
Space-group type   P4/mmm (123)
Total magnetic moment   0.1 μB per formula unit
Energy relative to the lowest polymorph listed for this composition   0 meV per atom



Below is crystalline GaAsP2S at its relaxed geometry, with properties calculated at the PBE-GGA level.

Cell and atoms, written as POSCAR:
```
GaAsP2S
1.0
4.743 0.000 0.000
0.000 4.743 0.000
0.000 0.000 4.899
Ga As P S
1 1 2 1
Cartesian
0.000 0.000 0.000
2.372 2.372 2.450
0.000 2.372 2.450
2.372 0.000 2.450
2.372 2.372 0.000
```

Summary:
Formation energy (no corrections)   770 meV per atom
Space-group type   P4/mmm (123)
Total magnetic moment   0.4 μB per formula unit
Energy relative to the lowest polymorph listed for this composition   0 meV per atom



Below is crystalline GaAs2PSe at its relaxed geometry, with properties calculated at the PBE-GGA level.

Cell and atoms, written as POSCAR:
```
GaAs2PSe
1.0
4.908 0.000 0.000
0.000 4.908 0.000
0.000 0.000 4.808
Ga As P Se
1 2 1 1
Cartesian
0.000 0.000 0.000
0.000 2.454 0.000
2.454 0.000 0.000
2.454 2.454 2.404
0.000 0.000 2.404
```

Summary:
Formation energy (no corrections)   944 meV per atom
Space-group type   P4/mmm (123)
Total magnetic moment   0.0 μB per formula unit
Energy relative to the lowest polymorph listed for this composition   415 meV per atom



Below is crystalline GaAs2PSe at its relaxed geometry, with properties calculated at the PBE-GGA level.

Cell and atoms, written as POSCAR:
```
GaAs2PSe
1.0
4.995 0.000 0.000
0.000 4.995 0.000
0.000 0.000 4.533
Ga As P Se
1 2 1 1
Cartesian
0.000 0.000 0.000
0.000 2.497 0.000
2.497 0.000 0.000
0.000 0.000 2.266
2.497 2.497 2.266
```

Summary:
Formation energy (no corrections)   869 meV per atom
Space-group type   P4/mmm (123)
Total magnetic moment   0.0 μB per formula unit
Energy relative to the lowest polymorph listed for this composition   339 meV per atom



Below is crystalline GaAs2PSe at its relaxed geometry, with properties calculated at the PBE-GGA level.

Cell and atoms, written as POSCAR:
```
GaAs2PSe
1.0
4.771 0.000 0.000
0.000 4.771 0.000
0.000 0.000 5.044
Ga As P Se
1 2 1 1
Cartesian
0.000 0.000 0.000
0.000 2.386 2.522
2.386 0.000 2.522
2.386 2.386 2.522
2.386 2.386 0.000
```

Summary:
Formation energy (no corrections)   530 meV per atom
Space-group type   P4/mmm (123)
Total magnetic moment   0.0 μB per formula unit
Energy relative to the lowest polymorph listed for this composition   0 meV per atom



Below is crystalline Sr2Ga2AsP2 at its relaxed geometry, with properties calculated at the PBE-GGA level.

Cell and atoms, written as POSCAR:
```
Sr2Ga2AsP2
1.0
4.095 0.000 0.000
1.965 6.366 0.000
1.876 2.348 6.962
Sr Ga As P
2 2 1 2
Cartesian
0.988 1.675 1.677
6.948 7.040 5.285
2.963 4.499 2.237
4.973 4.216 4.725
3.030 3.183 0.000
2.924 2.895 4.206
5.012 5.820 2.757
```

Summary:
Space-group type   P-1 (2)
Total magnetic moment   0.0 μB per formula unit



Below is crystalline Sr2Ga2As2P at its relaxed geometry, with properties calculated at the PBE-GGA level.

Cell and atoms, written as POSCAR:
```
Sr2Ga2As2P
1.0
7.221 -2.075 0.000
7.221 2.075 0.000
-1.810 0.000 6.130
Sr Ga As P
2 2 2 1
Cartesian
1.899 0.000 1.124
10.732 0.000 5.006
5.682 0.000 1.894
6.950 0.000 4.237
1.154 0.000 4.226
11.477 0.000 1.904
7.221 0.000 0.000
```

Summary:
Space-group type   C2/m (12)
Total magnetic moment   0.0 μB per formula unit



Below is crystalline Ta2GaAsP at its relaxed geometry, with properties calculated at the PBE-GGA level.

Cell and atoms, written as POSCAR:
```
Ta2GaAsP
1.0
4.668 0.000 0.000
0.000 4.668 0.000
0.000 0.000 4.647
Ta Ga As P
2 1 1 1
Cartesian
0.000 2.334 0.000
2.334 0.000 0.000
0.000 0.000 2.323
2.334 2.334 2.323
2.334 2.334 0.000
```

Summary:
Space-group type   P4/mmm (123)
Total magnetic moment   0.0 μB per formula unit



Below is crystalline TaGa2AsP at its relaxed geometry, with properties calculated at the PBE-GGA level.

Cell and atoms, written as POSCAR:
```
TaGa2AsP
1.0
5.148 0.000 0.000
0.000 5.148 0.000
0.000 0.000 4.873
Ta Ga As P
1 2 1 1
Cartesian
0.000 0.000 0.000
0.000 2.574 0.000
2.574 0.000 0.000
0.000 0.000 2.437
2.574 2.574 2.437
```

Summary:
Space-group type   P4/mmm (123)
Total magnetic moment   1.1 μB per formula unit



Below is crystalline Th4GaAs2P at its relaxed geometry, with properties calculated at the PBE-GGA level.

Cell and atoms, written as POSCAR:
```
Th4GaAs2P
1.0
7.335 0.000 0.000
0.000 4.246 0.000
-2.454 0.000 6.954
Th Ga As P
4 1 2 1
Cartesian
1.191 0.000 1.686
-0.033 2.123 5.240
4.914 2.123 1.715
3.690 0.000 5.268
3.667 0.000 0.000
-1.227 0.000 3.477
2.441 2.123 3.477
0.000 2.123 0.000
```

Summary:
Space-group type   P2/m (10)
Total magnetic moment   0.0 μB per formula unit



Below is crystalline Zn2GaAsP at its relaxed geometry, with properties calculated at the PBE-GGA level.

Cell and atoms, written as POSCAR:
```
Zn2GaAsP
1.0
4.838 0.000 0.000
0.000 4.838 0.000
0.000 0.000 4.935
Zn Ga As P
2 1 1 1
Cartesian
0.000 2.419 0.000
2.419 0.000 0.000
0.000 0.000 2.468
2.419 2.419 0.000
2.419 2.419 2.468
```

Summary:
Space-group type   P4/mmm (123)
Total magnetic moment   0.0 μB per formula unit



Below is crystalline ZrGaAs2P at its relaxed geometry, with properties calculated at the PBE-GGA level.

Cell and atoms, written as POSCAR:
```
ZrGaAs2P
1.0
5.146 0.000 0.000
0.000 5.146 0.000
0.000 0.000 5.386
Zr Ga As P
1 1 2 1
Cartesian
0.000 0.000 0.000
0.000 0.000 2.693
0.000 2.573 0.000
2.573 0.000 0.000
2.573 2.573 2.693
```

Summary:
Space-group type   P4/mmm (123)
Total magnetic moment   1.5 μB per formula unit



Short version: E_tot = -3.251, -4.008, -3.524, -4.493, -4.144, -4.274, -3.542, -3.891, -3.692, -3.754, -3.300, -3.375, -3.715, -4.179, -4.175, -6.674, -4.729, -7.079, -2.589, -4.518 eV per atom, in the order given.